DFT (PBE) results for a relaxed structure of Ho2Pb2O7.

```
22
Lattice="7.595 0.000 0.000 3.798 6.578 0.000 3.798 2.193 6.201" Properties=species:S:1:pos:R:3 pbc="T T T"
Ho 3.798 2.193 3.876
Ho 3.798 4.385 0.775
Ho 5.696 1.096 0.775
Ho 1.899 1.096 0.775
Pb 5.696 5.481 3.876
Pb 9.494 5.481 3.876
Pb 7.595 2.193 3.876
Pb 7.595 4.385 0.775
O 7.595 6.361 4.498
O 11.393 8.553 6.048
O 5.884 5.373 1.704
O 9.306 3.397 4.498
O 9.306 5.373 1.704
O 0.000 0.000 0.000
O 5.884 3.397 4.498
O 13.104 5.590 6.048
O 3.798 2.193 1.550
O 9.682 5.590 6.048
O 13.104 7.565 3.254
O 9.682 7.565 3.254
O 7.595 2.409 1.704
O 11.393 4.602 3.254
```

Summary:
- uncorrected energy (eV/cell) = -148.89
- ΔE_f (raw) (eV/f.u.) = -23.2

DFT (PBE) results for a relaxed structure of Ho2PdPbO5.

```
18
Lattice="5.860 0.000 0.000 0.000 6.503 0.000 0.000 0.000 6.503" Properties=species:S:1:pos:R:3 pbc="T T T"
Ho 2.930 4.380 1.128
Ho 2.930 1.128 2.123
Ho 2.930 5.375 4.380
Ho 2.930 2.123 5.375
Pd 0.000 0.000 3.251
Pd 0.000 3.251 0.000
Pb 0.000 3.251 3.251
Pb 0.000 0.000 0.000
O 2.930 3.251 3.251
O 2.930 0.000 0.000
O 1.532 0.919 4.171
O 1.532 5.584 2.332
O 1.532 2.332 0.919
O 1.532 4.171 5.584
O 4.328 0.919 4.171
O 4.328 4.171 5.584
O 4.328 5.584 2.332
O 4.328 2.332 0.919
```

Summary:
- uncorrected energy (eV/cell) = -126.11
- ΔE_f (raw) (eV/f.u.) = -20.2

DFT (PBE) results for a relaxed structure of PrHoPbO2.

```
5
Lattice="3.920 0.000 0.000 0.000 3.920 0.000 -1.960 -1.960 7.218" Properties=species:S:1:pos:R:3 pbc="T T T"
Pr 1.960 1.960 4.820
Ho 0.000 0.000 2.489
Pb 1.960 1.960 0.060
O 1.960 0.000 3.534
O 0.000 1.960 3.534
```

Summary:
- uncorrected energy (eV/cell) = -35.36
- ΔE_f (raw) (eV/f.u.) = -12.4

DFT (PBE) results for a relaxed structure of HoPtPbO6.

```
18
Lattice="5.531 0.000 0.000 -2.766 4.790 0.000 0.000 0.000 9.179" Properties=species:S:1:pos:R:3 pbc="T T T"
Ho 0.000 3.194 2.295
Ho 2.766 1.597 6.884
Pt 2.766 1.597 2.295
Pt 0.000 3.194 6.884
Pb 0.000 0.000 0.000
Pb 0.000 0.000 4.589
O 1.923 3.034 1.169
O 4.432 1.608 1.169
O -0.824 4.642 5.758
O -1.666 3.182 8.009
O 1.099 1.608 3.420
O 3.609 3.034 3.420
O 0.824 4.642 8.009
O 3.589 0.148 3.420
O -0.843 1.756 5.758
O 1.942 0.148 1.169
O 1.666 3.182 5.758
O 0.843 1.756 8.009
```

Summary:
- uncorrected energy (eV/cell) = -112.28
- ΔE_f (raw) (eV/f.u.) = -12.1

DFT (PBE) results for a relaxed structure of HoPuPb2O6.

```
20
Lattice="5.982 0.000 -0.015 0.000 6.099 0.000 0.031 0.000 8.574" Properties=species:S:1:pos:R:3 pbc="T T T"
Ho 2.991 0.000 -0.007
Ho 0.016 3.050 4.287
Pu 3.007 0.000 4.280
Pu 0.000 3.050 0.000
Pb 0.039 5.907 2.157
Pb 3.046 3.241 6.436
Pb 5.975 0.192 6.402
Pb 2.968 2.858 2.123
O 1.755 4.236 0.379
O 4.761 4.913 4.659
O 4.259 1.863 8.180
O 1.252 1.186 3.901
O 1.854 4.330 3.874
O 4.861 4.818 8.153
O 4.159 1.769 4.685
O 1.152 1.281 0.406
O 5.437 3.205 2.076
O 2.461 5.944 6.370
O 0.577 2.894 6.483
O 3.552 0.155 2.189
```

Summary:
- uncorrected energy (eV/cell) = -158.26
- ΔE_f (raw) (eV/f.u.) = -23.1

DFT (PBE) results for a relaxed structure of Ho2PuPbO8.

```
12
Lattice="-3.018 -3.457 -2.096 2.633 -3.513 2.486 -4.398 0.546 5.431" Properties=species:S:1:pos:R:3 pbc="T T T"
Ho -3.486 -3.076 4.262
Ho -1.297 -3.347 1.558
Pu 0.000 0.000 0.000
Pb -2.199 0.273 2.715
O 0.575 -3.375 2.868
O -0.270 -4.934 0.278
O -2.965 -3.346 -0.002
O -5.358 -3.048 2.953
O -4.513 -1.489 5.542
O -1.817 -3.078 5.822
O -2.465 -4.588 2.988
O -2.317 -1.836 2.832
```

Summary:
- uncorrected energy (eV/cell) = -97.29
- ΔE_f (raw) (eV/f.u.) = -30.4

DFT (PBE) results for a relaxed structure of RbHoPbO3.

```
12
Lattice="-0.004 3.503 0.338 -6.249 -0.752 7.723 5.870 -0.380 3.998" Properties=species:S:1:pos:R:3 pbc="T T T"
Rb 0.264 0.488 4.101
Rb -0.647 1.883 7.958
Ho -3.455 0.364 5.350
Ho 3.072 2.008 6.709
Pb 4.024 0.525 3.758
Pb -4.407 1.846 8.301
O 1.066 1.674 10.144
O -1.448 0.698 1.915
O -2.991 0.142 7.648
O 2.608 2.229 4.411
O -2.138 2.180 4.864
O 1.755 0.191 7.195
```

Summary:
- uncorrected energy (eV/cell) = -74.54
- ΔE_f (raw) (eV/f.u.) = -13.1

DFT (PBE) results for a relaxed structure of Rb2Ho2PbO6.

```
11
Lattice="5.966 -0.023 0.073 -2.969 5.175 0.073 -1.048 -1.802 6.660" Properties=species:S:1:pos:R:3 pbc="T T T"
Rb 4.484 0.839 0.073
Rb -1.487 4.313 0.073
Ho -0.506 2.537 3.403
Ho 2.455 0.814 3.403
Pb -0.524 -0.901 3.330
O 1.496 2.572 4.555
O -1.547 0.786 4.486
O 0.453 0.779 2.251
O 1.448 -0.956 4.486
O 3.496 2.565 2.320
O 0.502 4.307 2.320
```

Summary:
- uncorrected energy (eV/cell) = -69.27
- ΔE_f (raw) (eV/f.u.) = -24.7